Record 1
DFT (PBE-GGA) results for an optimized crystal structure of Ba2PtPb4Au3.

The structure in POSCAR format:
```
Ba2PtPb4Au3
1.0
5.018 0.000 0.000
0.000 5.018 0.000
0.000 0.000 11.534
Ba Pt Pb Au
2 1 4 3
Direct
0.000 0.500 0.233
0.500 0.000 0.767
0.500 0.500 0.000
0.000 0.000 0.500
0.000 0.500 0.885
0.500 0.000 0.115
0.500 0.500 0.500
0.000 0.000 0.000
0.000 0.500 0.638
0.500 0.000 0.362
```

Summary:
formation energy from the elements = -452 meV/atom

Record 2
DFT (PBE-GGA) results for an optimized crystal structure of SrNi4As2.

The structure in POSCAR format:
```
SrNi4As2
1.0
4.033 0.000 0.000
0.000 14.159 0.000
0.000 0.000 4.018
Sr Ni As
2 8 4
Direct
0.000 0.000 0.000
0.500 0.500 0.000
0.000 0.196 0.500
0.000 0.303 0.000
0.000 0.697 0.000
0.000 0.804 0.500
0.500 0.197 0.000
0.500 0.304 0.500
0.500 0.696 0.500
0.500 0.803 0.000
0.000 0.385 0.500
0.000 0.615 0.500
0.500 0.115 0.500
0.500 0.885 0.500
```

Summary:
formation energy from the elements = -442 meV/atom

Record 3
DFT (PBE-GGA) results for an optimized crystal structure of SiTe2As.

The structure in POSCAR format:
```
SiTe2As
1.0
7.186 0.000 0.000
0.000 7.186 0.000
0.000 0.000 7.186
Si Te As
4 8 4
Direct
0.000 0.000 0.000
0.000 0.500 0.500
0.500 0.000 0.500
0.500 0.500 0.000
0.000 0.000 0.500
0.000 0.500 0.000
0.250 0.250 0.250
0.250 0.750 0.750
0.500 0.000 0.000
0.500 0.500 0.500
0.750 0.250 0.750
0.750 0.750 0.250
0.250 0.250 0.750
0.250 0.750 0.250
0.750 0.250 0.250
0.750 0.750 0.750
```

Summary:
offset from the most stable computed form = 421.7 meV per atom

Record 4
DFT (PBE-GGA) results for an optimized crystal structure of Be2NbAu2.

The structure in POSCAR format:
```
Be2NbAu2
1.0
7.090 0.000 0.000
0.000 7.090 0.000
0.000 0.000 2.800
Be Nb Au
4 2 4
Direct
0.130 0.370 0.000
0.370 0.870 0.000
0.630 0.130 0.000
0.870 0.630 0.000
0.000 0.000 0.000
0.500 0.500 0.000
0.165 0.665 0.500
0.335 0.165 0.500
0.665 0.835 0.500
0.835 0.335 0.500
```

Summary:
formation energy from the elements = -62 meV/atom
offset from the most stable computed form = 0.0 meV per atom

Record 5
DFT (PBE-GGA) results for an optimized crystal structure of Ac2BiAs.

The structure in POSCAR format:
```
Ac2BiAs
1.0
4.684 0.000 0.000
-2.342 4.057 0.000
0.000 0.000 15.820
Ac Bi As
4 2 2
Direct
0.333 0.667 0.113
0.333 0.667 0.387
0.667 0.333 0.613
0.667 0.333 0.887
0.333 0.667 0.750
0.667 0.333 0.250
0.000 0.000 0.000
0.000 0.000 0.500
```

Summary:
formation energy from the elements = -1171 meV/atom
offset from the most stable computed form = 52.4 meV per atom

Record 6
DFT (PBE-GGA) results for an optimized crystal structure of Zn8CdCu4.

The structure in POSCAR format:
```
Zn8CdCu4
1.0
-4.369 4.369 2.485
4.369 -4.369 2.485
4.369 4.369 -2.485
Zn Cd Cu
8 1 4
Direct
0.000 0.218 0.218
0.000 0.782 0.782
0.155 0.500 0.655
0.218 0.000 0.218
0.500 0.155 0.655
0.500 0.845 0.345
0.782 0.000 0.782
0.845 0.500 0.345
0.500 0.500 0.000
0.000 0.000 0.500
0.000 0.500 0.000
0.500 0.000 0.000
0.500 0.500 0.500
```

Summary:
formation energy from the elements = -49 meV/atom

Record 7
DFT (PBE-GGA) results for an optimized crystal structure of Dy7Bi2C2.

The structure in POSCAR format:
```
Dy7Bi2C2
1.0
-1.734 8.142 4.929
1.734 -8.142 4.929
1.734 8.142 -4.929
Dy Bi C
7 2 2
Direct
0.000 0.000 0.000
0.040 0.702 0.338
0.063 0.372 0.690
0.364 0.702 0.662
0.424 0.567 0.857
0.682 0.372 0.310
0.711 0.567 0.143
0.328 0.328 0.000
0.727 0.227 0.500
0.392 0.131 0.261
0.871 0.131 0.739
```

Summary:
formation energy from the elements = -283 meV/atom

Record 8
DFT (PBE-GGA) results for an optimized crystal structure of Li2Cu4Pd.

The structure in POSCAR format:
```
Li2Cu4Pd
1.0
4.498 0.000 0.000
-1.819 4.244 0.000
-0.679 -1.196 5.003
Li Cu Pd
2 4 1
Direct
0.128 0.026 0.298
0.872 0.974 0.702
0.000 0.500 0.000
0.481 0.437 0.753
0.500 0.000 0.000
0.519 0.563 0.247
0.000 0.500 0.500
```

Summary:
formation energy from the elements = -34 meV/atom

Record 9
DFT (PBE-GGA) results for an optimized crystal structure of Tb7Ho3Tm2.

The structure in POSCAR format:
```
Tb7Ho3Tm2
1.0
5.751 0.000 0.000
0.000 3.547 0.000
-1.178 0.000 18.531
Tb Ho Tm
7 3 2
Direct
0.000 0.000 0.000
0.184 0.500 0.181
0.258 0.500 0.536
0.319 0.000 0.856
0.681 0.000 0.144
0.742 0.500 0.464
0.816 0.500 0.819
0.220 0.000 0.367
0.500 0.500 0.000
0.780 0.000 0.633
0.292 0.500 0.705
0.708 0.500 0.295
```

Summary:
formation energy from the elements = 90 meV/atom
offset from the most stable computed form = 0.0 meV per atom

Record 10
DFT (PBE-GGA) results for an optimized crystal structure of YbCe9O20.

The structure in POSCAR format:
```
YbCe9O20
1.0
6.685 0.000 0.000
-2.229 7.391 0.000
-1.113 -2.349 8.229
Yb Ce O
1 9 20
Direct
0.000 0.000 0.000
0.000 0.500 0.000
0.200 0.399 0.399
0.200 0.900 0.399
0.398 0.299 0.800
0.400 0.801 0.801
0.600 0.199 0.199
0.602 0.701 0.200
0.800 0.100 0.601
0.800 0.601 0.601
0.050 0.227 0.849
0.050 0.723 0.849
0.150 0.175 0.550
0.150 0.675 0.549
0.251 0.625 0.250
0.252 0.126 0.251
0.350 0.575 0.950
0.352 0.075 0.950
0.449 0.524 0.650
0.450 0.025 0.650
0.550 0.975 0.350
0.551 0.476 0.350
0.648 0.925 0.050
0.650 0.425 0.050
0.748 0.874 0.749
0.749 0.375 0.750
0.850 0.325 0.451
0.850 0.825 0.450
0.950 0.277 0.151
0.950 0.773 0.151
```

Summary:
calculated total energy = -253.557 eV per cell

Record 11
DFT (PBE-GGA) results for an optimized crystal structure of BaSrTc2.

The structure in POSCAR format:
```
BaSrTc2
1.0
3.316 0.000 0.000
-1.658 2.872 0.000
0.000 0.000 30.958
Ba Sr Tc
3 3 6
Direct
0.000 0.000 0.000
0.333 0.667 0.667
0.667 0.333 0.333
0.000 0.000 0.500
0.333 0.667 0.167
0.667 0.333 0.833
0.000 0.000 0.249
0.000 0.000 0.751
0.333 0.667 0.418
0.333 0.667 0.915
0.667 0.333 0.085
0.667 0.333 0.582
```

Summary:
formation energy from the elements = 1424 meV/atom
offset from the most stable computed form = 1137.6 meV per atom

Record 12
DFT (PBE-GGA) results for an optimized crystal structure of PmZnInSn.

The structure in POSCAR format:
```
PmZnInSn
1.0
7.390 0.000 0.000
0.000 7.390 0.000
0.000 0.000 7.390
Pm Zn In Sn
4 4 4 4
Direct
0.000 0.000 0.000
0.000 0.500 0.500
0.500 0.000 0.500
0.500 0.500 0.000
0.250 0.250 0.750
0.250 0.750 0.250
0.750 0.250 0.250
0.750 0.750 0.750
0.000 0.000 0.500
0.000 0.500 0.000
0.500 0.000 0.000
0.500 0.500 0.500
0.250 0.250 0.250
0.250 0.750 0.750
0.750 0.250 0.750
0.750 0.750 0.250
```

Summary:
formation energy from the elements = -196 meV/atom
offset from the most stable computed form = 245.5 meV per atom

Record 13
DFT (PBE-GGA) results for an optimized crystal structure of Ir2PdF.

The structure in POSCAR format:
```
Ir2PdF
1.0
6.070 0.000 0.000
0.000 6.070 0.000
0.000 0.000 6.070
Ir Pd F
8 4 4
Direct
0.250 0.250 0.250
0.250 0.250 0.750
0.250 0.750 0.250
0.250 0.750 0.750
0.750 0.250 0.250
0.750 0.250 0.750
0.750 0.750 0.250
0.750 0.750 0.750
0.000 0.000 0.000
0.000 0.500 0.500
0.500 0.000 0.500
0.500 0.500 0.000
0.000 0.000 0.500
0.000 0.500 0.000
0.500 0.000 0.000
0.500 0.500 0.500
```

Summary:
offset from the most stable computed form = 0.0 meV per atom